1.
VASP calculation (PBE-GGA) on a geometry-optimized LiPm5Cd4 structure.

Results
The calculation puts the total energy at -31.7 eV per cell. As for the mass density: 7.01 g/cm3. For the density of states at the Fermi level, the calculation gives 11.9 states/eV/f.u. As for the formation energy: -0.2366 eV/atom.

Structure (POSCAR):
```
LiPm5Cd4
1.0
-2.070 1.815 -2.686
-1.685 -3.325 -0.948
-13.626 3.280 12.716
Cd Li Pm
4 1 5
direct
0.000 0.000 0.803
0.000 0.000 0.601
0.000 0.000 0.399
0.000 0.000 0.197
0.000 0.000 0.000
0.500 0.500 0.500
0.500 0.500 0.701
0.500 0.500 0.900
0.500 0.500 0.100
0.500 0.500 0.299
```



2.
VASP calculation (PBE-GGA) on a geometry-optimized LiPmCd3 structure.

Results
The calculation puts the total energy at -10.4 eV per cell. As for the mass density: 6.87 g/cm3. For the energy above the most stable polymorph in this dataset, the calculation gives 0.0426 eV/atom. For the density of states at the Fermi level, the calculation gives 3.8 states/eV/f.u. As for the formation energy: -0.1901 eV/atom.

Structure (POSCAR):
```
LiPmCd3
1.0
-0.385 -4.208 -1.206
-0.488 -1.162 4.210
-5.628 3.386 -2.011
Cd Pm Li
3 1 1
direct
0.258 0.758 0.516
0.758 0.258 0.516
0.421 0.421 0.843
0.022 0.022 0.045
0.631 0.631 0.262
```



3.
VASP calculation (PBE-GGA) on a geometry-optimized Li3PmCd9 structure.

Results
The calculation puts the total energy at -21.7 eV per cell. As for the mass density: 7.19 g/cm3. For the density of states at the Fermi level, the calculation gives 4.2 states/eV/f.u. As for the formation energy: -0.2319 eV/atom.

Structure (POSCAR):
```
Li3PmCd9
1.0
5.015 0.040 2.035
2.466 7.100 1.001
-0.162 0.020 7.595
Li Cd Pm
3 9 1
direct
0.000 0.000 0.500
0.500 0.000 0.500
0.500 0.500 0.000
0.488 0.791 0.219
0.000 0.500 0.000
0.647 0.341 0.354
0.708 0.791 0.781
0.512 0.209 0.781
0.001 0.341 0.646
0.353 0.659 0.646
0.292 0.209 0.219
0.999 0.659 0.354
0.000 0.000 0.000
```



4.
VASP calculation (PBE-GGA) on a geometry-optimized Li3PmCd structure.

Results
The calculation puts the total energy at -22.2 eV per cell. As for the mass density: 4.02 g/cm3. For the density of states at the Fermi level, the calculation gives 4.4 states/eV/f.u. As for the formation energy: 0.0654 eV/atom.

Structure (POSCAR):
```
Li3PmCd
1.0
5.839 0.000 0.000
0.000 6.740 -0.001
0.000 -3.371 5.836
Li Pm Cd
6 2 2
direct
0.250 0.390 0.195
0.750 0.195 0.805
0.750 0.195 0.390
0.750 0.610 0.805
0.250 0.805 0.610
0.250 0.805 0.195
0.750 0.667 0.334
0.250 0.333 0.667
0.000 0.000 0.000
0.500 0.000 0.000
```



5.
VASP calculation (PBE-GGA) on a geometry-optimized Li2PmCd4 structure.

Results
The calculation puts the total energy at -13.8 eV per cell. As for the mass density: 6.38 g/cm3. For the density of states at the Fermi level, the calculation gives 3.7 states/eV/f.u. As for the formation energy: -0.2177 eV/atom.

Structure (POSCAR):
```
Li2PmCd4
1.0
4.868 0.000 -1.110
-0.166 3.113 -0.727
-0.210 0.751 10.310
Cd Li Pm
4 2 1
direct
0.923 0.423 0.846
0.343 0.343 0.687
0.077 0.577 0.154
0.657 0.657 0.313
0.798 0.798 0.597
0.202 0.202 0.403
0.500 0.000 0.000
```



6.
VASP calculation (PBE-GGA) on a geometry-optimized Li2Pm2Cd15 structure.

Results
The calculation puts the total energy at -30.4 eV per cell. As for the mass density: 7.62 g/cm3. For the density of states at the Fermi level, the calculation gives 8.0 states/eV/f.u. As for the formation energy: -0.1755 eV/atom.

Structure (POSCAR):
```
Li2Pm2Cd15
1.0
7.636 0.032 0.029
1.023 7.567 0.029
1.023 0.898 7.514
Cd Li Pm
15 2 2
direct
0.704 0.000 0.296
0.358 0.358 0.844
0.358 0.844 0.358
0.000 0.500 0.000
0.000 0.000 0.500
0.642 0.156 0.642
0.642 0.642 0.156
0.704 0.296 0.000
0.296 0.704 0.000
0.156 0.642 0.642
0.844 0.358 0.358
0.500 0.000 0.000
0.000 0.704 0.296
0.296 0.000 0.704
0.000 0.296 0.704
0.900 0.900 0.900
0.100 0.100 0.100
0.336 0.336 0.336
0.664 0.664 0.664
```



7.
VASP calculation (PBE-GGA) on a geometry-optimized Li4PmCd8 structure.

Results
The calculation puts the total energy at -23.0 eV per cell. As for the mass density: 6.70 g/cm3. For the density of states at the Fermi level, the calculation gives 5.8 states/eV/f.u. As for the formation energy: -0.2497 eV/atom.

Structure (POSCAR):
```
Li4PmCd8
1.0
-2.247 -4.767 -0.360
3.633 -4.254 -5.096
3.185 -4.799 4.908
Cd Pm Li
8 1 4
direct
0.500 0.213 0.787
0.651 0.349 0.349
0.349 0.651 0.651
0.500 0.787 0.213
0.000 0.349 0.651
0.713 0.787 0.787
0.000 0.651 0.349
0.287 0.213 0.213
0.000 0.000 0.000
0.500 0.500 0.000
0.000 0.500 0.000
0.000 0.000 0.500
0.500 0.000 0.500
```



8.
VASP calculation (PBE-GGA) on a geometry-optimized Li6PmCd12 structure.

Results
The calculation puts the total energy at -29.2 eV per cell. As for the mass density: 6.33 g/cm3. For the density of states at the Fermi level, the calculation gives 3.8 states/eV/f.u. As for the formation energy: -0.1052 eV/atom.

Structure (POSCAR):
```
Li6PmCd12
1.0
7.761 -0.092 -0.129
-2.013 7.496 -0.129
-2.013 -2.592 7.035
Li Cd Pm
6 12 1
direct
0.270 0.270 0.710
0.730 0.730 0.290
0.290 0.730 0.730
0.710 0.270 0.270
0.270 0.710 0.270
0.730 0.290 0.730
0.596 0.845 0.596
0.118 0.500 0.882
0.596 0.596 0.845
0.845 0.596 0.596
0.500 0.118 0.882
0.882 0.500 0.118
0.500 0.882 0.118
0.404 0.404 0.155
0.404 0.155 0.404
0.118 0.882 0.500
0.155 0.404 0.404
0.882 0.118 0.500
0.000 0.000 0.000
```



9.
VASP calculation (PBE-GGA) on a geometry-optimized LiPm2Cd3 structure.

Results
The calculation puts the total energy at -15.8 eV per cell. As for the mass density: 7.01 g/cm3. For the energy above the most stable polymorph in this dataset, the calculation gives 0.0048 eV/atom. For the density of states at the Fermi level, the calculation gives 4.1 states/eV/f.u. As for the formation energy: -0.2722 eV/atom.

Structure (POSCAR):
```
LiPm2Cd3
1.0
-1.512 0.410 -2.985
-3.028 -3.936 0.992
-5.848 5.433 3.707
Cd Pm Li
3 2 1
direct
0.500 0.000 0.176
0.500 0.500 0.657
0.500 0.000 0.836
0.000 0.500 0.996
0.000 0.000 0.503
0.500 0.500 0.331
```



10.
VASP calculation (PBE-GGA) on a geometry-optimized Li4PmCd2 structure.

Results
The calculation puts the total energy at -15.3 eV per cell. As for the mass density: 4.24 g/cm3. For the energy above the most stable polymorph in this dataset, the calculation gives 0.0000 eV/atom. For the density of states at the Fermi level, the calculation gives 4.1 states/eV/f.u. As for the formation energy: -0.1461 eV/atom.

Structure (POSCAR):
```
Li4PmCd2
1.0
-2.390 3.006 2.961
-1.314 -1.491 4.424
5.420 3.016 5.284
Li Cd Pm
4 2 1
direct
0.427 0.427 0.718
0.142 0.142 0.573
0.573 0.573 0.282
0.858 0.858 0.427
0.262 0.262 0.214
0.738 0.738 0.786
0.000 0.000 0.000
```



11.
VASP calculation (PBE-GGA) on a geometry-optimized Li7PmCd5 structure.

Results
The calculation puts the total energy at -25.1 eV per cell. As for the mass density: 4.65 g/cm3. For the density of states at the Fermi level, the calculation gives 6.7 states/eV/f.u. As for the formation energy: -0.1856 eV/atom.

Structure (POSCAR):
```
Li7PmCd5
1.0
-3.472 3.213 3.251
-7.100 -0.329 -2.189
-2.637 -3.688 5.895
Cd Li Pm
5 7 1
direct
0.697 0.803 0.803
0.005 0.006 0.488
0.501 0.006 0.488
0.005 0.488 0.006
0.501 0.488 0.006
0.996 0.356 0.652
0.347 0.653 0.653
0.290 0.210 0.210
0.503 0.779 0.215
0.503 0.215 0.779
0.996 0.652 0.356
0.653 0.347 0.347
0.002 0.998 0.998
```



12.
VASP calculation (PBE-GGA) on a geometry-optimized Li2Pm3Cd3 structure.

Results
The calculation puts the total energy at -22.4 eV per cell. As for the mass density: 6.24 g/cm3. For the density of states at the Fermi level, the calculation gives 7.3 states/eV/f.u. As for the formation energy: -0.1984 eV/atom.

Structure (POSCAR):
```
Li2Pm3Cd3
1.0
3.763 0.000 -0.606
-0.202 5.224 -1.256
-0.203 -0.197 10.721
Li Pm Cd
2 3 3
direct
0.739 0.239 0.479
0.261 0.761 0.521
0.500 0.000 0.000
0.371 0.371 0.743
0.629 0.629 0.257
0.862 0.862 0.724
0.000 0.500 0.000
0.138 0.138 0.276
```